No. 1
An optimized crystal structure of Ac3Nd2HoSe6, computed with PBE.

**Total DFT energy (no corrections)**: -69.3 eV/cell
**Theoretical density**: 7818 kg/m3

Unit cell a=7.4203 b=7.4203 c=7.5912 alpha=99.38 beta=99.38 gamma=120.16
Positions (direct):
Ho  0.0000  0.0000  0.0000
Ac  0.5000  0.5000  0.5000
Se  0.2455  0.2455  0.7675
Nd  0.3334  0.6666  0.0000
Se  0.9245  0.6013  0.7726
Ac  0.8287  0.1713  0.5000
Nd  0.6666  0.3334  0.0000
Se  0.6013  0.9245  0.7726
Se  0.7545  0.7545  0.2325
Se  0.0755  0.3987  0.2274
Ac  0.1713  0.8287  0.5000
Se  0.3987  0.0755  0.2274

***

No. 2
An optimized crystal structure of BaScTc2, computed with PBE.

**Total DFT energy (no corrections)**: -25.4 eV/cell
**ΔE_f**: 0.892 eV per atom
**ΔE to the lowest computed polymorph**: 0.658 eV per atom
**Theoretical density**: 7672 kg/m3

Unit cell a=4.8740 b=4.8740 c=4.8740 alpha=60.00 beta=60.00 gamma=60.00
Positions (direct):
Sc  0.0000  0.0000  0.0000
Tc  0.2500  0.2500  0.2500
Tc  0.7500  0.7500  0.7500
Ba  0.5000  0.5000  0.5000

***

No. 3
An optimized crystal structure of TbSc4Ru5, computed with PBE.

**Total DFT energy (no corrections)**: -81.1 eV/cell
**ΔE_f**: -0.474 eV per atom
**Theoretical density**: 8151 kg/m3

Unit cell a=3.2534 b=3.2534 c=16.2454 alpha=90.00 beta=90.00 gamma=90.00
Positions (direct):
Ru  0.5000  0.5000  0.5000
Sc  0.0000  0.0000  0.4022
Sc  0.0000  0.0000  0.2068
Sc  0.0000  0.0000  0.5978
Ru  0.5000  0.5000  0.1097
Ru  0.5000  0.5000  0.6952
Sc  0.0000  0.0000  0.7932
Ru  0.5000  0.5000  0.3048
Tb  0.0000  0.0000  0.0000
Ru  0.5000  0.5000  0.8903

***

No. 4
An optimized crystal structure of CsK2AsS4, computed with PBE.

**Total DFT energy (no corrections)**: -31.0 eV/cell
**Theoretical density**: 2470 kg/m3

Unit cell a=7.9119 b=7.1480 c=7.1480 alpha=77.00 beta=56.40 gamma=56.40
Positions (direct):
K  0.5000  0.2503  0.7497
S  0.3257  0.1990  0.4752
S  0.6743  0.5248  0.8010
S  0.9999  0.8010  0.5248
As  0.0000  0.5000  0.5000
Cs  0.0000  0.0000  0.0000
K  0.5000  0.7497  0.2503
S  0.0001  0.4752  0.1990

***

No. 5
An optimized crystal structure of Tl2SeBr, computed with PBE.

**Total DFT energy (no corrections)**: -11.4 eV/cell
**ΔE to the lowest computed polymorph**: 0.102 eV per atom
**Theoretical density**: 7651 kg/m3

Unit cell a=3.8959 b=3.9632 c=8.2670 alpha=74.82 beta=90.00 gamma=90.00
Positions (direct):
Tl  0.0000  0.1341  0.9649
Tl  0.0000  0.3659  0.5351
Br  0.5000  0.2500  0.2500
Se  0.5000  0.7500  0.7500

***

No. 6
An optimized crystal structure of PbF5, computed with PBE.

**Total DFT energy (no corrections)**: -21.5 eV/cell
**ΔE to the lowest computed polymorph**: 0.000 eV per atom
**Theoretical density**: 4993 kg/m3

Unit cell a=3.5862 b=6.4154 c=5.7805 alpha=86.57 beta=107.51 gamma=55.88
Site moments in Bohr magnetons follow the coordinates.
Positions (direct):
F  0.5986  0.2535  0.0148  0.00
F  0.6454  0.4954  0.5821  0.17
Pb  0.1370  0.1306  0.8403  -0.02
F  0.5888  0.8577  0.2053  0.34
F  0.6007  0.0643  0.6289  0.01
F  0.5962  0.6985  0.8953  0.49

***

No. 7
An optimized crystal structure of Ba3In2Sn9Pb, computed with PBE.

**Total DFT energy (no corrections)**: -52.9 eV/cell
**ΔE_f**: -0.129 eV per atom
**Theoretical density**: 5596 kg/m3

Unit cell a=6.7927 b=6.7927 c=14.2373 alpha=90.00 beta=90.00 gamma=120.00
Positions (direct):
In  0.3333  0.6667  0.1645
Sn  0.8187  0.1813  0.6606
Sn  0.5000  0.5000  0.0000
Sn  0.1813  0.3626  0.3394
Ba  0.3333  0.6667  0.7707
In  0.6667  0.3333  0.8355
Ba  0.6667  0.3333  0.2293
Sn  0.8187  0.6374  0.6606
Sn  0.0000  0.5000  0.0000
Pb  0.0000  0.0000  0.5000
Sn  0.1813  0.8187  0.3394
Sn  0.6374  0.8187  0.3394
Ba  0.0000  0.0000  0.0000
Sn  0.5000  0.0000  0.0000
Sn  0.3626  0.1813  0.6606

***

No. 8
An optimized crystal structure of HPtNF2, computed with PBE.

**Total DFT energy (no corrections)**: -19.8 eV/cell
**ΔE to the lowest computed polymorph**: 0.014 eV per atom
**Theoretical density**: 7517 kg/m3

Unit cell a=2.9572 b=2.9572 c=6.2675 alpha=90.00 beta=90.00 gamma=90.00
Site moments in Bohr magnetons follow the coordinates.
Positions (direct):
Pt  0.5000  0.5000  0.5000  0.02
F  0.0000  0.5000  0.0000  0.32
N  0.0000  0.0000  0.5000  0.07
F  0.5000  0.0000  0.0000  0.32
H  0.0000  0.0000  0.0000  -0.01

***

No. 9
An optimized crystal structure of NbSbI2N, computed with PBE.

**Total DFT energy (no corrections)**: -19.6 eV/cell
**ΔE to the lowest computed polymorph**: 0.910 eV per atom
**Theoretical density**: 7060 kg/m3

Unit cell a=4.8192 b=4.8192 c=4.8863 alpha=90.00 beta=90.00 gamma=90.00
Site moments in Bohr magnetons follow the coordinates.
Positions (direct):
N  0.0000  0.0000  0.0000  -0.05
Nb  0.5000  0.5000  0.5000  2.12
Sb  0.0000  0.0000  0.5000  -0.10
I  0.5000  0.0000  0.0000  -0.06
I  0.0000  0.5000  0.0000  -0.06

***

No. 10
An optimized crystal structure of LaBeCu, computed with PBE.

**Total DFT energy (no corrections)**: -11.8 eV/cell
**ΔE_f**: 0.330 eV per atom
**ΔE to the lowest computed polymorph**: 0.336 eV per atom
**Theoretical density**: 5419 kg/m3

Unit cell a=4.5085 b=4.5085 c=4.5085 alpha=60.00 beta=60.00 gamma=60.00
Positions (direct):
La  0.5000  0.5000  0.5000
Be  0.7500  0.7500  0.7500
Cu  0.0000  0.0000  0.0000

***

No. 11
An optimized crystal structure of ZrSb2Au2, computed with PBE.

**Total DFT energy (no corrections)**: -48.3 eV/cell
**ΔE to the lowest computed polymorph**: 0.000 eV per atom
**Theoretical density**: 10854 kg/m3

Unit cell a=7.6244 b=7.6244 c=3.8354 alpha=90.00 beta=90.00 gamma=90.00
Positions (direct):
Sb  0.3187  0.1813  0.5000
Sb  0.6813  0.8187  0.5000
Au  0.1267  0.3734  0.0000
Au  0.6266  0.1267  0.0000
Sb  0.8187  0.3187  0.5000
Zr  0.0000  0.0000  0.0000
Zr  0.5000  0.5000  0.0000
Sb  0.1813  0.6813  0.5000
Au  0.3734  0.8734  0.0000
Au  0.8734  0.6266  0.0000

***

No. 12
An optimized crystal structure of Na5B7C3, computed with PBE.

**Total DFT energy (no corrections)**: -158.3 eV/cell
**ΔE_f**: 0.124 eV per atom
**ΔE to the lowest computed polymorph**: 0.011 eV per atom
**Theoretical density**: 2420 kg/m3

Unit cell a=11.5540 b=11.5540 c=9.9570 alpha=106.96 beta=106.96 gamma=14.17
Positions (direct):
B  0.5886  0.5886  0.9275
B  0.4203  0.4203  0.0904
Na  0.0998  0.0998  0.7025
B  0.5191  0.5191  0.7891
B  0.0143  0.0143  0.2790
B  0.7768  0.7768  0.3031
Na  0.8006  0.8006  0.5980
C  0.9171  0.9171  0.5840
Na  0.0007  0.0007  0.0001
B  0.9797  0.9797  0.7096
B  0.8114  0.8114  0.8725
C  0.7147  0.7147  0.1781
B  0.1834  0.1834  0.1160
C  0.1195  0.1195  0.9887
Na  0.7000  0.7000  0.9000
Na  0.3002  0.3002  0.0975
C  0.6853  0.6853  0.6219
Na  0.3993  0.3993  0.7999
B  0.3857  0.3857  0.5210
B  0.2166  0.2166  0.6840
Na  0.2000  0.2000  0.4000
C  0.2805  0.2805  0.8113
C  0.4829  0.4829  0.2160
Na  0.8996  0.8996  0.3010
B  0.6232  0.6232  0.4969
Na  0.5994  0.5994  0.2020
B  0.8809  0.8809  0.0109
B  0.0830  0.0830  0.4159
Na  0.5004  0.5004  0.4990
B  0.3170  0.3170  0.3841